DFT (GGA-PBE) results for a relaxed SrZnH crystal.

abc: 5.6680 5.6680 5.6680
angles: 142.12 142.12 54.65
Last column: nearest neighbours and their distance in Å.
Positions (direct):
1 Sr 0.0000 0.0000 0.0000  4 H 2.60
2 Zn 0.6944 0.6944 0.0000  1 H 1.96
3 H 0.4996 0.4996 0.0000  1 Zn 1.96

* space group: No. 107
* relative energy among the computed polymorphs: 0.335 eV/f.u.